P:
Material: TaRu2Pt
Method: DFT, PBE-GGA
State: optimized geometry

Computed properties:
V: 15.23 Å³/atom

Geometry as CIF:
```
data_TaRu2Pt
_chemical_formula_sum 'Ta2 Ru4 Pt2'
_cell_length_a 3.9736
_cell_length_b 3.9736
_cell_length_c 7.7164
_cell_angle_alpha 90.00
_cell_angle_beta 90.00
_cell_angle_gamma 90.00
_symmetry_space_group_name_H-M 'I 4/m m m'
_symmetry_Int_Tables_number 139
_symmetry_space_group_name_Hall '-I 4 2'
loop_
_atom_site_label
_atom_site_fract_x
_atom_site_fract_y
_atom_site_fract_z
Ta1 0.0000 0.0000 0.0000
Ru1 0.0000 0.5000 0.2500
Pt1 0.0000 0.0000 0.5000
```

=====

Q:
Material: TaRu2Pt
Method: DFT, PBE-GGA
State: optimized geometry

Computed properties:
V: 15.09 Å³/atom

Geometry as CIF:
```
data_TaRu2Pt
_chemical_formula_sum 'Ta1 Ru2 Pt1'
_cell_length_a 3.9510
_cell_length_b 3.9510
_cell_length_c 3.8657
_cell_angle_alpha 90.00
_cell_angle_beta 90.00
_cell_angle_gamma 90.00
_symmetry_space_group_name_H-M 'P 4/m m m'
_symmetry_Int_Tables_number 123
_symmetry_space_group_name_Hall '-P 4 2'
loop_
_atom_site_label
_atom_site_fract_x
_atom_site_fract_y
_atom_site_fract_z
Ta1 0.0000 0.0000 0.0000
Ru1 0.0000 0.5000 0.5000
Pt1 0.5000 0.5000 0.0000
```

=====

R:
Material: TaRu2Pt
Method: DFT, PBE-GGA
State: optimized geometry

Computed properties:
V: 15.70 Å³/atom

Geometry as CIF:
```
data_TaRu2Pt
_chemical_formula_sum 'Ta4 Ru8 Pt4'
_cell_length_a 6.3096
_cell_length_b 6.3096
_cell_length_c 6.3096
_cell_angle_alpha 90.00
_cell_angle_beta 90.00
_cell_angle_gamma 90.00
_symmetry_space_group_name_H-M 'F -4 3 m'
_symmetry_Int_Tables_number 216
_symmetry_space_group_name_Hall 'F -4 2 3'
loop_
_atom_site_label
_atom_site_fract_x
_atom_site_fract_y
_atom_site_fract_z
Ta1 0.0000 0.0000 0.0000
Ru1 0.0000 0.0000 0.5000
Ru2 0.2500 0.2500 0.7500
Pt1 0.2500 0.2500 0.2500
```

=====

Which is most stable? The ranking, best first, is Q, P, R.

=====

P:
Material: TaRu3Pt
Method: DFT, PBE-GGA
State: optimized geometry

Computed properties:
V: 20.20 Å³/atom

Geometry as CIF:
```
data_TaRu3Pt
_chemical_formula_sum 'Ta1 Ru3 Pt1'
_cell_length_a 4.6573
_cell_length_b 4.6573
_cell_length_c 4.6573
_cell_angle_alpha 90.00
_cell_angle_beta 90.00
_cell_angle_gamma 90.00
_symmetry_space_group_name_H-M 'P m -3 m'
_symmetry_Int_Tables_number 221
_symmetry_space_group_name_Hall '-P 4 2 3'
loop_
_atom_site_label
_atom_site_fract_x
_atom_site_fract_y
_atom_site_fract_z
Ta1 0.0000 0.0000 0.0000
Ru1 0.0000 0.5000 0.5000
Pt1 0.5000 0.5000 0.5000
```

=====

Q:
Material: TaRu3Pt
Method: DFT, PBE-GGA
State: optimized geometry

Computed properties:
V: 20.20 Å³/atom

Geometry as CIF:
```
data_TaRu3Pt
_chemical_formula_sum 'Ta1 Ru3 Pt1'
_cell_length_a 4.6568
_cell_length_b 4.6568
_cell_length_c 4.6568
_cell_angle_alpha 90.00
_cell_angle_beta 90.00
_cell_angle_gamma 90.00
_symmetry_space_group_name_H-M 'P m -3 m'
_symmetry_Int_Tables_number 221
_symmetry_space_group_name_Hall '-P 4 2 3'
loop_
_atom_site_label
_atom_site_fract_x
_atom_site_fract_y
_atom_site_fract_z
Ta1 0.0000 0.0000 0.0000
Ru1 0.0000 0.0000 0.5000
Pt1 0.5000 0.5000 0.5000
```

=====

Which is most stable? The ranking, best first, is Q, P.

=====

P:
Material: TaRuPt2
Method: DFT, PBE-GGA
State: optimized geometry

Computed properties:
V: 15.81 Å³/atom

Geometry as CIF:
```
data_TaRuPt2
_chemical_formula_sum 'Ta3 Ru3 Pt6'
_cell_length_a 2.8100
_cell_length_b 2.8100
_cell_length_c 27.7501
_cell_angle_alpha 90.00
_cell_angle_beta 90.00
_cell_angle_gamma 120.00
_symmetry_space_group_name_H-M 'R 3 m'
_symmetry_Int_Tables_number 160
_symmetry_space_group_name_Hall 'R 3 -2"'
loop_
_atom_site_label
_atom_site_fract_x
_atom_site_fract_y
_atom_site_fract_z
Ta1 0.0000 0.0000 0.0000
Ru1 0.0000 0.0000 0.2511
Pt1 0.0000 0.0000 0.5023
Pt2 0.0000 0.0000 0.7488
```

=====

Q:
Material: TaRuPt2
Method: DFT, PBE-GGA
State: optimized geometry

Computed properties:
V: 15.93 Å³/atom

Geometry as CIF:
```
data_TaRuPt2
_chemical_formula_sum 'Ta1 Ru1 Pt2'
_cell_length_a 3.3589
_cell_length_b 3.3589
_cell_length_c 5.6484
_cell_angle_alpha 90.00
_cell_angle_beta 90.00
_cell_angle_gamma 90.00
_symmetry_space_group_name_H-M 'P 4 m m'
_symmetry_Int_Tables_number 99
loop_
_symmetry_equiv_pos_as_xyz
'x,y,z'
'-y,x,z'
'-x,-y,z'
'y,-x,z'
'-x,y,z'
'y,x,z'
'x,-y,z'
'-y,-x,z'
loop_
_atom_site_label
_atom_site_fract_x
_atom_site_fract_y
_atom_site_fract_z
Ta1 0.0000 0.0000 0.0000
Ru1 0.5000 0.5000 0.7547
Pt1 0.0000 0.0000 0.5055
Pt2 0.5000 0.5000 0.2510
```

=====

Which is most stable? The ranking, best first, is Q, P.

=====

P:
Material: TaRuPt2
Method: DFT, PBE-GGA
State: optimized geometry

Computed properties:
V: 15.61 Å³/atom

Geometry as CIF:
```
data_TaRuPt2
_chemical_formula_sum 'Ta1 Ru1 Pt2'
_cell_length_a 2.8557
_cell_length_b 4.4828
_cell_length_c 4.8790
_cell_angle_alpha 90.00
_cell_angle_beta 90.00
_cell_angle_gamma 90.00
_symmetry_space_group_name_H-M 'P m m 2'
_symmetry_Int_Tables_number 25
loop_
_symmetry_equiv_pos_as_xyz
'x,y,z'
'-x,-y,z'
'-x,y,z'
'x,-y,z'
loop_
_atom_site_label
_atom_site_fract_x
_atom_site_fract_y
_atom_site_fract_z
Ta1 0.0000 0.0000 0.0000
Ru1 0.0000 0.5000 0.3237
Pt1 0.5000 0.0000 0.4833
Pt2 0.5000 0.5000 0.8187
```

=====

Q:
Material: TaRuPt2
Method: DFT, PBE-GGA
State: optimized geometry

Computed properties:
V: 15.57 Å³/atom

Geometry as CIF:
```
data_TaRuPt2
_chemical_formula_sum 'Ta1 Ru1 Pt2'
_cell_length_a 2.7776
_cell_length_b 4.0668
_cell_length_c 5.5129
_cell_angle_alpha 90.00
_cell_angle_beta 90.00
_cell_angle_gamma 90.00
_symmetry_space_group_name_H-M 'P m m m'
_symmetry_Int_Tables_number 47
loop_
_symmetry_equiv_pos_as_xyz
'x,y,z'
'-x,-y,-z'
'-x,-y,z'
'x,y,-z'
'x,-y,-z'
'-x,y,z'
'-x,y,-z'
'x,-y,z'
loop_
_atom_site_label
_atom_site_fract_x
_atom_site_fract_y
_atom_site_fract_z
Ta1 0.0000 0.0000 0.0000
Ru1 0.0000 0.0000 0.5000
Pt1 0.5000 0.5000 0.2553
```

=====

R:
Material: TaRuPt2
Method: DFT, PBE-GGA
State: optimized geometry

Computed properties:
V: 15.52 Å³/atom

Geometry as CIF:
```
data_TaRuPt2
_chemical_formula_sum 'Ta2 Ru2 Pt4'
_cell_length_a 3.9031
_cell_length_b 3.9031
_cell_length_c 8.1490
_cell_angle_alpha 90.00
_cell_angle_beta 90.00
_cell_angle_gamma 90.00
_symmetry_space_group_name_H-M 'I 4/m m m'
_symmetry_Int_Tables_number 139
_symmetry_space_group_name_Hall '-I 4 2'
loop_
_atom_site_label
_atom_site_fract_x
_atom_site_fract_y
_atom_site_fract_z
Ta1 0.0000 0.0000 0.0000
Ru1 0.0000 0.0000 0.5000
Pt1 0.0000 0.5000 0.2500
```

=====

Which is most stable? The ranking, best first, is R, P, Q.

=====

P:
Material: TaRuPt2
Method: DFT, PBE-GGA
State: optimized geometry

Computed properties:
V: 15.44 Å³/atom

Geometry as CIF:
```
data_TaRuPt2
_chemical_formula_sum 'Ta1 Ru1 Pt2'
_cell_length_a 3.8897
_cell_length_b 3.8897
_cell_length_c 4.0828
_cell_angle_alpha 90.00
_cell_angle_beta 90.00
_cell_angle_gamma 90.00
_symmetry_space_group_name_H-M 'P 4/m m m'
_symmetry_Int_Tables_number 123
_symmetry_space_group_name_Hall '-P 4 2'
loop_
_atom_site_label
_atom_site_fract_x
_atom_site_fract_y
_atom_site_fract_z
Ta1 0.0000 0.0000 0.0000
Ru1 0.5000 0.5000 0.0000
Pt1 0.0000 0.5000 0.5000
```

=====

Q:
Material: TaRuPt2
Method: DFT, PBE-GGA
State: optimized geometry

Computed properties:
V: 16.88 Å³/atom

Geometry as CIF:
```
data_TaRuPt2
_chemical_formula_sum 'Ta4 Ru4 Pt8'
_cell_length_a 3.7979
_cell_length_b 3.7979
_cell_length_c 18.7197
_cell_angle_alpha 90.00
_cell_angle_beta 90.00
_cell_angle_gamma 90.00
_symmetry_space_group_name_H-M 'I -4 2 d'
_symmetry_Int_Tables_number 122
_symmetry_space_group_name_Hall 'I -4 2bw'
loop_
_atom_site_label
_atom_site_fract_x
_atom_site_fract_y
_atom_site_fract_z
Ta1 0.0000 0.0000 0.0000
Ru1 0.0000 0.0000 0.5000
Pt1 0.2427 0.2500 0.6250
```

=====

Which is most stable? The ranking, best first, is P, Q.